Entry 1:
10
Lattice="10.640 0.000 0.000 0.000 10.640 0.000 0.000 0.000 2.839" Properties=species:S:1:pos:R:3 comment="Rb2PSe2 | the Alexandria database | PBE | optimized geometry" magmom_total_mub_per_cell=0.00 total_energy_ev_per_cell=-28.066 pbc="T T T"
Rb 1.892 3.428 0.000
Rb 3.428 8.748 0.000
Rb 7.211 1.892 0.000
Rb 8.748 7.211 0.000
P 0.000 0.000 0.000
P 5.320 5.320 0.000
Se 1.177 6.497 1.420
Se 4.143 1.177 1.420
Se 6.497 9.463 1.420
Se 9.463 4.143 1.420


Entry 2:
88
Lattice="17.114 0.000 0.000 0.000 10.790 0.000 0.000 0.000 15.641" Properties=species:S:1:pos:R:3 comment="Rb2P3Se6 | the Alexandria database | PBE | optimized geometry" magmom_total_mub_per_cell=0.00 total_energy_ev_per_cell=-356.352 pbc="T T T"
Rb 0.352 2.594 0.000
Rb 1.508 7.797 0.648
Rb 2.835 2.504 11.224
Rb 3.835 7.758 11.675
Rb 4.722 7.758 3.854
Rb 5.722 2.504 3.404
Rb 7.048 7.797 8.469
Rb 8.205 2.594 7.820
Rb 8.909 8.196 0.000
Rb 10.065 2.994 0.648
Rb 11.391 8.287 11.224
Rb 12.392 3.033 11.675
Rb 13.279 3.033 3.854
Rb 14.279 8.287 3.404
Rb 15.605 2.994 8.469
Rb 16.762 8.196 7.820
P 0.584 10.045 11.934
P 1.153 3.131 6.150
P 1.366 10.305 3.969
P 2.839 5.764 7.760
P 3.052 2.122 5.636
P 3.788 4.509 15.596
P 4.769 4.509 7.776
P 5.505 2.122 13.456
P 5.718 5.764 15.581
P 7.190 10.305 11.790
P 7.404 3.131 13.970
P 7.973 10.045 4.114
P 9.141 0.745 11.934
P 9.710 7.659 6.150
P 9.923 0.485 3.969
P 11.396 5.026 7.760
P 11.609 8.668 5.636
P 12.344 6.281 15.596
P 13.326 6.281 7.776
P 14.062 8.668 13.456
P 14.275 5.026 15.581
P 15.747 0.485 11.790
P 15.961 7.659 13.970
P 16.530 0.745 4.114
Se 0.184 2.929 4.049
Se 0.813 8.219 4.175
Se 1.498 5.260 9.371
Se 1.591 10.183 10.029
Se 1.722 10.517 13.706
Se 1.928 5.257 5.683
Se 2.349 10.747 6.033
Se 2.521 5.008 13.915
Se 2.589 0.128 2.311
Se 2.967 4.645 1.948
Se 3.483 7.808 7.538
Se 4.018 2.306 7.746
Se 4.538 2.306 15.567
Se 5.074 7.808 15.359
Se 5.590 4.645 9.768
Se 5.968 0.128 10.131
Se 6.036 5.008 6.095
Se 6.208 10.747 13.854
Se 6.629 5.257 13.503
Se 6.835 10.517 5.886
Se 6.966 10.183 2.208
Se 7.059 5.260 1.551
Se 7.744 8.219 11.995
Se 8.373 2.929 11.869
Se 8.741 7.861 4.049
Se 9.370 2.571 4.175
Se 10.055 5.530 9.371
Se 10.147 0.608 10.029
Se 10.279 0.273 13.706
Se 10.485 5.533 5.683
Se 10.906 0.043 6.033
Se 11.077 5.783 13.915
Se 11.145 10.662 2.311
Se 11.523 6.145 1.948
Se 12.040 2.982 7.538
Se 12.575 8.484 7.746
Se 13.095 8.484 15.567
Se 13.631 2.982 15.359
Se 14.147 6.145 9.768
Se 14.525 10.662 10.131
Se 14.593 5.783 6.095
Se 14.764 0.043 13.854
Se 15.185 5.533 13.503
Se 15.391 0.273 5.886
Se 15.523 0.608 2.208
Se 15.616 5.530 1.551
Se 16.300 2.571 11.995
Se 16.930 7.861 11.869


Entry 3:
5
Lattice="-1.938 1.938 10.647 1.938 -1.938 10.647 1.938 1.938 -10.647" Properties=species:S:1:pos:R:3 comment="Rb2PSe2 | the Alexandria database | PBE | optimized geometry" magmom_total_mub_per_cell=0.00 total_energy_ev_per_cell=-15.089 pbc="T T T"
Rb 0.000 0.000 2.218
Rb 0.000 0.000 19.077
P 0.000 0.000 10.647
Se 1.938 0.000 5.324
Se 0.000 1.938 5.324


Q: Which formula does entry 2 have?
A: Rb2P3Se6